# 1
# Na2Co2Pd (PBE, optimized geometry)
data_Na2Co2Pd
_cell_length_a 6.195
_cell_length_b 6.195
_cell_length_c 4.875
_cell_angle_alpha 90.00
_cell_angle_beta 90.00
_cell_angle_gamma 90.00
_space_group_name_H-M_alt 'P 1'
_space_group_IT_number 1
_space_group_name_Hall 'P 1'
loop_
_atom_site_label
_atom_site_type_symbol
_atom_site_fract_x
_atom_site_fract_y
_atom_site_fract_z
_atom_site_occupancy
Na1 Na 0.185 0.315 0.000 1
Na2 Na 0.315 0.815 0.000 1
Na3 Na 0.685 0.185 0.000 1
Na4 Na 0.815 0.685 0.000 1
Co1 Co 0.122 0.622 0.500 1
Co2 Co 0.378 0.122 0.500 1
Co3 Co 0.622 0.878 0.500 1
Co4 Co 0.878 0.378 0.500 1
Pd1 Pd 0.000 0.000 0.500 1
Pd2 Pd 0.500 0.500 0.500 1
# **V**: 18.71 A^3/atom
# **Formation energy**: 0.4495 eV/atom
# **Energy**: -39.59 eV/cell

---

# 2
# CsLiHf2Fe (PBE, optimized geometry)
data_CsLiHf2Fe
_cell_length_a 4.780
_cell_length_b 4.780
_cell_length_c 5.902
_cell_angle_alpha 90.00
_cell_angle_beta 90.00
_cell_angle_gamma 90.00
_space_group_name_H-M_alt 'P 1'
_space_group_IT_number 1
_space_group_name_Hall 'P 1'
loop_
_atom_site_label
_atom_site_type_symbol
_atom_site_fract_x
_atom_site_fract_y
_atom_site_fract_z
_atom_site_occupancy
Cs1 Cs 0.000 0.000 0.000 1
Li1 Li 0.500 0.500 0.000 1
Hf1 Hf 0.000 0.500 0.500 1
Hf2 Hf 0.500 0.000 0.500 1
Fe1 Fe 0.500 0.500 0.500 1
# **V**: 26.97 A^3/atom
# **Formation energy**: 0.6509 eV/atom
# **Energy**: -27.88 eV/cell

---

# 3
# MgTl2As (PBE, optimized geometry)
data_MgTl2As
_cell_length_a 5.287
_cell_length_b 5.287
_cell_length_c 5.287
_cell_angle_alpha 60.00
_cell_angle_beta 60.00
_cell_angle_gamma 60.00
_space_group_name_H-M_alt 'P 1'
_space_group_IT_number 1
_space_group_name_Hall 'P 1'
loop_
_atom_site_label
_atom_site_type_symbol
_atom_site_fract_x
_atom_site_fract_y
_atom_site_fract_z
_atom_site_occupancy
Mg1 Mg 0.000 0.000 0.000 1
Tl1 Tl 0.250 0.250 0.250 1
Tl2 Tl 0.750 0.750 0.750 1
As1 As 0.500 0.500 0.500 1
# **V**: 26.13 A^3/atom
# **Formation energy**: 0.0994 eV/atom
# **Energy**: -10.58 eV/cell

---

# 4
# NaRhS (PBE, optimized geometry)
data_NaRhS
_cell_length_a 3.913
_cell_length_b 3.913
_cell_length_c 4.438
_cell_angle_alpha 90.00
_cell_angle_beta 90.00
_cell_angle_gamma 120.00
_space_group_name_H-M_alt 'P 1'
_space_group_IT_number 1
_space_group_name_Hall 'P 1'
loop_
_atom_site_label
_atom_site_type_symbol
_atom_site_fract_x
_atom_site_fract_y
_atom_site_fract_z
_atom_site_occupancy
Na1 Na 0.000 0.000 0.000 1
Rh1 Rh 0.333 0.667 0.500 1
S1 S 0.667 0.333 0.500 1
# **Uncorrected formation energy**: -427 meV/atom
# **V**: 19.62 A^3/atom
# **Energy**: -14.08 eV/cell

---

# 5
# MnPdSe2 (PBE, optimized geometry)
data_MnPdSe2
_cell_length_a 8.018
_cell_length_b 8.018
_cell_length_c 8.018
_cell_angle_alpha 24.67
_cell_angle_beta 24.67
_cell_angle_gamma 24.67
_space_group_name_H-M_alt 'P 1'
_space_group_IT_number 1
_space_group_name_Hall 'P 1'
loop_
_atom_site_label
_atom_site_type_symbol
_atom_site_fract_x
_atom_site_fract_y
_atom_site_fract_z
_atom_site_occupancy
Mn1 Mn 0.000 0.000 0.000 1
Pd1 Pd 0.500 0.500 0.500 1
Se1 Se 0.396 0.396 0.396 1
Se2 Se 0.604 0.604 0.604 1
# **Uncorrected formation energy**: -245 meV/atom
# **V**: 19.73 A^3/atom
# **Energy**: -22.31 eV/cell

---

# 6
# CaTl2Ru (PBE, optimized geometry)
data_CaTl2Ru
_cell_length_a 3.513
_cell_length_b 3.513
_cell_length_c 7.940
_cell_angle_alpha 90.00
_cell_angle_beta 90.00
_cell_angle_gamma 90.00
_space_group_name_H-M_alt 'P 1'
_space_group_IT_number 1
_space_group_name_Hall 'P 1'
loop_
_atom_site_label
_atom_site_type_symbol
_atom_site_fract_x
_atom_site_fract_y
_atom_site_fract_z
_atom_site_occupancy
Ca1 Ca 0.000 0.000 0.000 1
Tl1 Tl 0.000 0.000 0.392 1
Tl2 Tl 0.500 0.500 0.679 1
Ru1 Ru 0.500 0.500 0.228 1
# **V**: 24.51 A^3/atom
# **Formation energy**: 0.1807 eV/atom
# **Energy**: -15.29 eV/cell

---

Question: Which of these has the lowest V?
Answer: Na2Co2Pd

---

Question: Look up the V of the first one.
Answer: 18.71 A^3/atom